## YCu2RhC (PBE)

Data for a relaxed YCu2RhC crystal.

Final energy (eV per atom): -4.748
SG: No. 123
Energy relative to the elements (meV per atom): 1498

a b c (Å): 4.587 5.152 4.587
angles (deg): 90.00 90.00 90.00
Last column: magnetic moment on the atom in μB.
Positions (direct):
Y  0.000  0.500  0.000  0.01
C  0.500  0.500  0.500  0.71
Rh  0.000  0.000  0.000  0.23
Cu  0.000  0.000  0.500  0.10
Cu  0.500  0.000  0.000  0.05

---

## Nb2FeSe6 (PBE)

Data for a relaxed Nb2FeSe6 crystal.

Final energy (eV per atom): -5.938
E_form (uncorrected) (eV per atom): -0.437
SG: No. 14

a b c (Å): 6.269 6.315 9.232
angles (deg): 90.00 92.05 90.00
Last column: magnetic moment on the atom in μB.
Positions (direct):
Nb  0.941  0.352  0.754  -0.06
Nb  0.559  0.852  0.746  -0.06
Nb  0.441  0.148  0.254  -0.06
Nb  0.059  0.648  0.246  -0.06
Fe  0.500  0.500  0.000  0.35
Fe  0.000  0.000  0.500  0.35
Se  0.831  0.974  0.264  0.01
Se  0.827  0.670  0.576  0.00
Se  0.828  0.667  0.931  0.00
Se  0.672  0.167  0.569  0.00
Se  0.673  0.170  0.924  0.00
Se  0.669  0.474  0.236  0.01
Se  0.169  0.026  0.736  0.01
Se  0.173  0.330  0.424  0.00
Se  0.172  0.333  0.069  0.00
Se  0.328  0.833  0.431  0.00
Se  0.327  0.830  0.076  0.00
Se  0.331  0.526  0.764  0.01

---

## YIn2Sn2 (PBE)

Data for a relaxed YIn2Sn2 crystal.

Final energy (eV per atom): -4.159
SG: No. 127
Energy relative to the elements (meV per atom): -170

a b c (Å): 8.135 8.135 4.137
angles (deg): 90.00 90.00 90.00
Positions (direct):
Y  0.000  0.000  0.000
Y  0.500  0.500  0.000
Sn  0.366  0.866  0.000
Sn  0.866  0.634  0.000
Sn  0.634  0.134  0.000
Sn  0.134  0.366  0.000
In  0.164  0.664  0.500
In  0.664  0.836  0.500
In  0.836  0.336  0.500
In  0.336  0.164  0.500

---

## Tb2PmP3Rh12 (PBE)

Data for a relaxed Tb2PmP3Rh12 crystal.

Final energy (eV per atom): -6.968
SG: No. 166
Energy relative to the elements (meV per atom): -387

a b c (Å): 6.727 6.727 6.727
angles (deg): 84.02 84.02 84.02
Positions (direct):
Tb  0.628  0.628  0.628
Tb  0.372  0.372  0.372
Pm  0.000  0.000  0.000
P  0.500  0.000  0.000
P  0.000  0.500  0.000
P  0.000  0.000  0.500
Rh  0.370  0.370  0.908
Rh  0.819  0.819  0.340
Rh  0.340  0.819  0.819
Rh  0.908  0.370  0.370
Rh  0.819  0.340  0.819
Rh  0.370  0.908  0.370
Rh  0.630  0.630  0.092
Rh  0.181  0.181  0.660
Rh  0.660  0.181  0.181
Rh  0.092  0.630  0.630
Rh  0.181  0.660  0.181
Rh  0.630  0.092  0.630

---

## NaBeAl2Pd (PBE)

Data for a relaxed NaBeAl2Pd crystal.

Final energy (eV per atom): -3.477
SG: No. 123
Energy relative to the elements (meV per atom): 67

a b c (Å): 4.374 4.498 4.374
angles (deg): 90.00 90.00 90.00
Positions (direct):
Na  0.500  0.500  0.500
Al  0.000  0.000  0.500
Al  0.500  0.000  0.000
Pd  0.000  0.500  0.000
Be  0.000  0.000  0.000

---

## YNiSe2N (PBE)

Data for a relaxed YNiSe2N crystal.

Final energy (eV per atom): -5.873
E_form (uncorrected) (eV per atom): -0.365
SG: No. 123

a b c (Å): 4.943 4.943 3.627
angles (deg): 90.00 90.00 90.00
Last column: magnetic moment on the atom in μB.
Positions (direct):
Y  0.500  0.500  0.500  -0.01
Ni  0.000  0.000  0.000  0.25
Se  0.000  0.500  0.000  0.03
Se  0.500  0.000  0.000  0.03
N  0.000  0.000  0.500  0.51

---

## Dy2ErPaRu2 (PBE)

Data for a relaxed Dy2ErPaRu2 crystal.

Final energy (eV per atom): -7.272
SG: No. 72
Energy relative to the elements (meV per atom): -303

a b c (Å): 6.697 6.769 8.309
angles (deg): 114.04 113.77 90.00
Positions (direct):
Dy  0.694  0.903  0.388
Dy  0.194  0.486  0.388
Dy  0.806  0.514  0.612
Dy  0.306  0.097  0.612
Er  0.250  0.000  0.000
Er  0.750  0.000  0.000
Pa  0.750  0.500  0.000
Pa  0.250  0.500  0.000
Ru  0.396  0.604  0.793
Ru  0.604  0.396  0.207
Ru  0.104  0.811  0.207
Ru  0.896  0.189  0.793

---

## LiHf3 (PBE)

Data for a relaxed LiHf3 crystal.

Final energy (eV per atom): -7.748
SG: No. 44
Energy relative to the elements (meV per atom): 195

a b c (Å): 3.141 5.427 5.783
angles (deg): 117.98 105.76 90.00
Positions (direct):
Hf  0.264  0.614  0.529
Hf  0.500  0.466  0.000
Hf  0.736  0.085  0.471
Li  0.000  0.001  0.000

---

## Pm2Mg2TcGe4 (PBE)

Data for a relaxed Pm2Mg2TcGe4 crystal.

Final energy (eV per atom): -4.982
SG: No. 139
Energy relative to the elements (meV per atom): -368

a b c (Å): 6.382 6.382 6.382
angles (deg): 92.20 118.74 118.74
Last column: magnetic moment on the atom in μB.
Positions (direct):
Pm  0.500  0.750  0.250  0.01
Pm  0.500  0.250  0.750  0.01
Mg  0.000  0.704  0.704  0.00
Mg  0.000  0.296  0.296  0.00
Tc  0.000  0.000  0.000  0.36
Ge  0.000  0.729  0.271  0.00
Ge  0.458  0.729  0.729  0.00
Ge  0.000  0.271  0.729  0.00
Ge  0.542  0.271  0.271  0.00

---

## TiCdB2 (PBE)

Data for a relaxed TiCdB2 crystal.

Final energy (eV per atom): -4.741
SG: No. 141
Energy relative to the elements (meV per atom): 800

a b c (Å): 3.792 3.792 8.642
angles (deg): 77.33 77.33 90.00
Positions (direct):
B  0.375  0.125  0.250
B  0.375  0.625  0.250
B  0.375  0.625  0.750
B  0.875  0.625  0.750
Ti  0.500  0.500  0.000
Ti  0.250  0.750  0.500
Cd  0.000  0.000  0.000
Cd  0.750  0.250  0.500

---

## Ba2CoAuN (PBE)

Data for a relaxed Ba2CoAuN crystal.

Final energy (eV per atom): -5.020
E_form (uncorrected) (eV per atom): -0.510
SG: No. 123

a b c (Å): 5.816 5.816 3.582
angles (deg): 90.00 90.00 90.00
Positions (direct):
Co  0.000  0.000  0.500
Au  0.500  0.500  0.500
Ba  0.000  0.500  0.000
Ba  0.500  0.000  0.000
N  0.000  0.000  0.000

---

## SmY2HoSc2 (PBE)

Data for a relaxed SmY2HoSc2 crystal.

Final energy (eV per atom): -5.543
SG: No. 58
Energy relative to the elements (meV per atom): 272

a b c (Å): 3.348 6.302 17.382
angles (deg): 90.00 90.00 90.00
Positions (direct):
Sm  0.500  0.500  0.000
Sm  0.000  0.000  0.500
Y  0.500  0.274  0.310
Y  0.000  0.774  0.190
Y  0.500  0.726  0.690
Y  0.000  0.226  0.810
Ho  0.000  0.000  0.000
Ho  0.500  0.500  0.500
Sc  0.500  0.775  0.355
Sc  0.500  0.225  0.645
Sc  0.000  0.725  0.855
Sc  0.000  0.275  0.145

---

## Ac5HgSe4 (PBE)

Data for a relaxed Ac5HgSe4 crystal.

Final energy (eV per atom): -5.058
E_form (uncorrected) (eV per atom): -1.580
SG: No. 87

a b c (Å): 6.394 7.861 7.861
angles (deg): 80.48 66.00 66.00
Positions (direct):
Ac  0.899  0.405  0.798
Ac  0.304  0.798  0.595
Ac  0.698  0.202  0.405
Ac  0.103  0.595  0.202
Ac  0.501  0.000  0.000
Hg  0.001  0.000  0.000
Se  0.401  0.403  0.798
Se  0.803  0.798  0.597
Se  0.199  0.202  0.403
Se  0.601  0.597  0.202